# InCuOs2 | Alexandria | meta-GGA SCAN | single point on PBEsol structure
# ΔE_f = 410.9 meV/atom
# D(E_F) = 8.021 states/eV/cell
data_InCuOs2
_symmetry_space_group_name_H-M 'R 3 m'
_symmetry_Int_Tables_number 160
_symmetry_space_group_name_Hall 'R 3 -2"'
_cell_length_a 2.7937
_cell_length_b 2.7937
_cell_length_c 26.6417
_cell_angle_alpha 90.00
_cell_angle_beta 90.00
_cell_angle_gamma 120.00
loop_
_atom_site_label
_atom_site_fract_x
_atom_site_fract_y
_atom_site_fract_z
_atom_site_occupancy
In1 0.0000 0.0000 0.0000 1
Cu1 0.0000 0.0000 0.7519 1
Os1 0.0000 0.0000 0.2419 1
Os2 0.0000 0.0000 0.4987 1



# LaRe2Hg | Alexandria | meta-GGA SCAN | single point on PBEsol structure
# ΔE_f = 846.9 meV/atom
# Energy relative to the lowest polymorph listed for this composition = 0.0 kJ/mol of atoms
# D(E_F) = 8.229 states/eV/cell
data_LaRe2Hg
_symmetry_space_group_name_H-M 'C 1 2/m 1'
_symmetry_Int_Tables_number 12
_symmetry_space_group_name_Hall '-C 2y'
_cell_length_a 5.8642
_cell_length_b 9.8073
_cell_length_c 2.8992
_cell_angle_alpha 90.00
_cell_angle_beta 116.07
_cell_angle_gamma 90.00
loop_
_atom_site_label
_atom_site_fract_x
_atom_site_fract_y
_atom_site_fract_z
_atom_site_occupancy
La1 0.0000 0.0000 0.0000 1
Re1 0.2500 0.2500 0.5000 1
Hg1 0.0000 0.5000 0.0000 1



# SrBeSb2 | Alexandria | meta-GGA SCAN | single point on PBEsol structure
# D(E_F) = 0.322 states/eV/cell
# Uncorrected formation energy = -1.15 eV/f.u.
data_SrBeSb2
_symmetry_space_group_name_H-M 'I -4 2 d'
_symmetry_Int_Tables_number 122
_symmetry_space_group_name_Hall 'I -4 2bw'
_cell_length_a 5.7537
_cell_length_b 5.7537
_cell_length_c 15.1244
_cell_angle_alpha 90.00
_cell_angle_beta 90.00
_cell_angle_gamma 90.00
loop_
_atom_site_label
_atom_site_fract_x
_atom_site_fract_y
_atom_site_fract_z
_atom_site_occupancy
Sr1 0.0000 0.0000 0.0000 1
Be1 0.0000 0.0000 0.5000 1
Sb1 0.0778 0.2500 0.6250 1



# Li2VCrO4 | Alexandria | meta-GGA SCAN | single point on PBEsol structure
# Energy relative to the lowest polymorph listed for this composition = 2.5 kJ/mol of atoms
# D(E_F) = 5.203 states/eV/cell
# Uncorrected formation energy = -20.07 eV/f.u.
data_Li2VCrO4
_symmetry_space_group_name_H-M 'I -4 m 2'
_symmetry_Int_Tables_number 119
_symmetry_space_group_name_Hall 'I -4 -2'
_cell_length_a 3.9810
_cell_length_b 3.9810
_cell_length_c 8.6743
_cell_angle_alpha 90.00
_cell_angle_beta 90.00
_cell_angle_gamma 90.00
loop_
_atom_site_label
_atom_site_fract_x
_atom_site_fract_y
_atom_site_fract_z
_atom_site_occupancy
Li1 0.0000 0.0000 0.0000 1
Li2 0.0000 0.5000 0.2500 1
V1 0.0000 0.0000 0.5000 1
Cr1 0.0000 0.5000 0.7500 1
O1 0.0000 0.0000 0.2685 1
O2 0.0000 0.5000 0.5192 1



# Be2SiNi | Alexandria | meta-GGA SCAN | single point on PBEsol structure
# D(E_F) = 0.962 states/eV/cell
# Uncorrected formation energy = -0.97 eV/f.u.
data_Be2SiNi
_symmetry_space_group_name_H-M 'P 4/m m m'
_symmetry_Int_Tables_number 123
_symmetry_space_group_name_Hall '-P 4 2'
_cell_length_a 3.3713
_cell_length_b 3.3713
_cell_length_c 3.3619
_cell_angle_alpha 90.00
_cell_angle_beta 90.00
_cell_angle_gamma 90.00
loop_
_atom_site_label
_atom_site_fract_x
_atom_site_fract_y
_atom_site_fract_z
_atom_site_occupancy
Be1 0.0000 0.5000 0.0000 1
Si1 0.0000 0.0000 0.5000 1
Ni1 0.5000 0.5000 0.5000 1



# AlTl2FeN | Alexandria | meta-GGA SCAN | single point on PBEsol structure
# D(E_F) = 2.437 states/eV/cell
# Uncorrected formation energy = 2.49 eV/f.u.
data_AlTl2FeN
_symmetry_space_group_name_H-M 'P 4/m m m'
_symmetry_Int_Tables_number 123
_symmetry_space_group_name_Hall '-P 4 2'
_cell_length_a 5.2885
_cell_length_b 5.2885
_cell_length_c 3.4212
_cell_angle_alpha 90.00
_cell_angle_beta 90.00
_cell_angle_gamma 90.00
loop_
_atom_site_label
_atom_site_fract_x
_atom_site_fract_y
_atom_site_fract_z
_atom_site_occupancy
Al1 0.0000 0.0000 0.0000 1
Tl1 0.0000 0.5000 0.5000 1
Fe1 0.5000 0.5000 0.0000 1
N1 0.0000 0.0000 0.5000 1



# Sb2PbW | Alexandria | meta-GGA SCAN | single point on PBEsol structure
# D(E_F) = 6.357 states/eV/cell
# Uncorrected formation energy = 2.40 eV/f.u.
data_Sb2PbW
_symmetry_space_group_name_H-M 'C m m m'
_symmetry_Int_Tables_number 65
_symmetry_space_group_name_Hall '-C 2 2'
_cell_length_a 3.6851
_cell_length_b 5.0824
_cell_length_c 10.1512
_cell_angle_alpha 90.00
_cell_angle_beta 90.00
_cell_angle_gamma 90.00
loop_
_atom_site_label
_atom_site_fract_x
_atom_site_fract_y
_atom_site_fract_z
_atom_site_occupancy
Sb1 0.0000 0.0000 0.2032 1
Pb1 0.0000 0.5000 0.5000 1
W1 0.0000 0.5000 0.0000 1



# Rb2LaZrC | Alexandria | meta-GGA SCAN | single point on PBEsol structure
# ΔE_f = 1224.5 meV/atom
# D(E_F) = 5.154 states/eV/cell
data_Rb2LaZrC
_symmetry_space_group_name_H-M 'P 4/m m m'
_symmetry_Int_Tables_number 123
_symmetry_space_group_name_Hall '-P 4 2'
_cell_length_a 6.4928
_cell_length_b 6.4928
_cell_length_c 4.4303
_cell_angle_alpha 90.00
_cell_angle_beta 90.00
_cell_angle_gamma 90.00
loop_
_atom_site_label
_atom_site_fract_x
_atom_site_fract_y
_atom_site_fract_z
_atom_site_occupancy
Rb1 0.0000 0.5000 0.0000 1
La1 0.0000 0.0000 0.5000 1
Zr1 0.5000 0.5000 0.5000 1
C1 0.0000 0.0000 0.0000 1